[1]
LiPtRh2 | GGA-PBEsol | relaxed

## Properties
Its density of states at the Fermi level is 5.19 states/eV/cell. The value obtained for the energy of formation from the pure elements is -62 kJ/mol of formula units. As for the distance to the lowest polymorph of the same formula: 0.00 eV/f.u. Its total DFT energy (no corrections) is -6.46 eV per atom.

Unit cell a=3.767 b=3.767 c=7.472 alpha=90.00 beta=90.00 gamma=90.00
Sites, in units of the cell vectors:
1 Li 0.000 0.000 0.000
2 Li 0.500 0.500 0.500
3 Pt 0.000 0.500 0.750
4 Pt 0.500 0.000 0.250
5 Rh 0.000 0.000 0.500
6 Rh 0.000 0.500 0.250
7 Rh 0.500 0.000 0.750
8 Rh 0.500 0.500 0.000


[2]
Mn2IrCl | GGA-PBEsol | relaxed

## Properties
Its density of states at the Fermi level is 3.47 states/eV/cell. As for the distance to the lowest polymorph of the same formula: 0.48 eV/f.u. Its total DFT energy (no corrections) is -7.46 eV per atom.

Unit cell a=4.608 b=4.608 c=2.827 alpha=90.00 beta=90.00 gamma=90.00
Sites, in units of the cell vectors:
1 Mn 0.000 0.500 0.000
2 Mn 0.500 0.000 0.000
3 Ir 0.000 0.000 0.500
4 Cl 0.500 0.500 0.500


[3]
AgTe2Os | GGA-PBEsol | relaxed

## Properties
Its density of states at the Fermi level is 9.25 states/eV/cell. As for the distance to the lowest polymorph of the same formula: 0.00 eV/f.u. Its total DFT energy (no corrections) is -5.10 eV per atom.

Unit cell a=6.765 b=6.765 c=6.765 alpha=90.00 beta=90.00 gamma=90.00
Sites, in units of the cell vectors:
1 Ag 0.000 0.000 0.000
2 Ag 0.000 0.500 0.500
3 Ag 0.500 0.000 0.500
4 Ag 0.500 0.500 0.000
5 Te 0.250 0.250 0.250
6 Te 0.250 0.250 0.750
7 Te 0.250 0.750 0.250
8 Te 0.250 0.750 0.750
9 Te 0.750 0.250 0.250
10 Te 0.750 0.250 0.750
11 Te 0.750 0.750 0.250
12 Te 0.750 0.750 0.750
13 Os 0.000 0.000 0.500
14 Os 0.000 0.500 0.000
15 Os 0.500 0.000 0.000
16 Os 0.500 0.500 0.500


V, record by record: 13.25; 15.01; 19.35 A^3/atom